Entry 1:
Below is SmTmPd4 after structural relaxation, with properties calculated at the PBE-GGA level.

CIF file:
```
data_SmTmPd4
_chemical_formula_sum 'Sm1 Tm1 Pd4'
_cell_length_a 3.945
_cell_length_b 3.945
_cell_length_c 8.491
_cell_angle_alpha 90.00
_cell_angle_beta 90.00
_cell_angle_gamma 90.00
_symmetry_space_group_name_H-M 'P 4/m m m'
_symmetry_Int_Tables_number 123
_symmetry_space_group_name_Hall '-P 4 2'
loop_
_atom_site_label
_atom_site_fract_x
_atom_site_fract_y
_atom_site_fract_z
Sm1 0.000 0.000 0.000
Tm1 0.500 0.500 0.500
Pd1 0.000 0.500 0.257
```

Values from the calculation:
- D(E_F): 0.40 states/eV/atom
- Final energy: -5.59 eV/atom
- Total magnetization: 0.00 μB per formula unit
- Calculated density: 9.4 g/cm³
- Excess energy over the best structure of this formula in the dataset: 204 meV/atom


Entry 2:
Below is Pa2Si2Mo after structural relaxation, with properties calculated at the PBE-GGA level.

CIF file:
```
data_Pa2Si2Mo
_chemical_formula_sum 'Pa8 Si8 Mo4'
_cell_length_a 10.885
_cell_length_b 4.009
_cell_length_c 10.366
_cell_angle_alpha 90.00
_cell_angle_beta 119.18
_cell_angle_gamma 90.00
_symmetry_space_group_name_H-M 'C 1 2/m 1'
_symmetry_Int_Tables_number 12
_symmetry_space_group_name_Hall '-C 2y'
loop_
_atom_site_label
_atom_site_fract_x
_atom_site_fract_y
_atom_site_fract_z
Pa1 0.017 0.000 0.192
Pa2 0.200 0.000 0.616
Si1 0.015 0.500 0.390
Si2 0.128 0.500 0.057
Mo1 0.212 0.500 0.866
```

Values from the calculation:
- D(E_F): 1.51 states/eV/atom
- Final energy: -8.58 eV/atom
- Total magnetization: 0.00 μB per formula unit
- Calculated density: 10.3 g/cm³
- Formation energy from raw total energies: -448 meV per atom
- Excess energy over the best structure of this formula in the dataset: 70 meV/atom


Entry 3:
Below is BaMg2V2 after structural relaxation, with properties calculated at the PBE-GGA level.

CIF file:
```
data_BaMg2V2
_chemical_formula_sum 'Ba2 Mg4 V4'
_cell_length_a 5.407
_cell_length_b 5.407
_cell_length_c 8.842
_cell_angle_alpha 90.00
_cell_angle_beta 90.00
_cell_angle_gamma 90.00
_symmetry_space_group_name_H-M 'I 4/m m m'
_symmetry_Int_Tables_number 139
_symmetry_space_group_name_Hall '-I 4 2'
loop_
_atom_site_label
_atom_site_fract_x
_atom_site_fract_y
_atom_site_fract_z
Ba1 0.000 0.000 0.000
Mg1 0.000 0.500 0.250
V1 0.000 0.000 0.396
```

Values from the calculation:
- D(E_F): 1.42 states/eV/atom
- Final energy: -4.09 eV/atom
- Total magnetization: 0.47 μB per formula unit
- Calculated density: 3.7 g/cm³
- Excess energy over the best structure of this formula in the dataset: 82 meV/atom


Entry 4:
Below is MgTlFe after structural relaxation, with properties calculated at the PBE-GGA level.

CIF file:
```
data_MgTlFe
_chemical_formula_sum 'Mg2 Tl2 Fe2'
_cell_length_a 11.957
_cell_length_b 3.162
_cell_length_c 3.162
_cell_angle_alpha 90.00
_cell_angle_beta 104.62
_cell_angle_gamma 90.00
_symmetry_space_group_name_H-M 'C 1 m 1'
_symmetry_Int_Tables_number 8
_symmetry_space_group_name_Hall 'C -2y'
loop_
_atom_site_label
_atom_site_fract_x
_atom_site_fract_y
_atom_site_fract_z
Mg1 0.000 0.000 0.000
Tl1 0.300 0.000 0.295
Fe1 0.141 0.500 0.636
```

Values from the calculation:
- D(E_F): 0.77 states/eV/atom
- Final energy: -3.77 eV/atom
- Total magnetization: 2.56 μB per formula unit
- Calculated density: 8.2 g/cm³


Entry 5:
Below is Zn2Os after structural relaxation, with properties calculated at the PBE-GGA level.

CIF file:
```
data_Zn2Os
_chemical_formula_sum 'Zn4 Os2'
_cell_length_a 3.077
_cell_length_b 3.077
_cell_length_c 8.922
_cell_angle_alpha 90.00
_cell_angle_beta 90.00
_cell_angle_gamma 90.00
_symmetry_space_group_name_H-M 'I 4/m m m'
_symmetry_Int_Tables_number 139
_symmetry_space_group_name_Hall '-I 4 2'
loop_
_atom_site_label
_atom_site_fract_x
_atom_site_fract_y
_atom_site_fract_z
Zn1 0.000 0.000 0.165
Os1 0.000 0.000 0.500
```

Values from the calculation:
- D(E_F): 0.82 states/eV/atom
- Final energy: -4.31 eV/atom
- Total magnetization: 0.00 μB per formula unit
- Calculated density: 12.6 g/cm³


Entry 6:
Below is Eu6Dy after structural relaxation, with properties calculated at the PBE-GGA level.

CIF file:
```
data_Eu6Dy
_chemical_formula_sum 'Eu12 Dy2'
_cell_length_a 8.335
_cell_length_b 8.335
_cell_length_c 8.335
_cell_angle_alpha 90.00
_cell_angle_beta 90.00
_cell_angle_gamma 90.00
_symmetry_space_group_name_H-M 'I m -3 m'
_symmetry_Int_Tables_number 229
_symmetry_space_group_name_Hall '-I 4 2 3'
loop_
_atom_site_label
_atom_site_fract_x
_atom_site_fract_y
_atom_site_fract_z
Eu1 0.000 0.250 0.500
Dy1 0.000 0.000 0.000
```

Values from the calculation:
- D(E_F): 1.82 states/eV/atom
- Final energy: -8.33 eV/atom
- Total magnetization: 44.63 μB per formula unit
- Calculated density: 6.2 g/cm³


Entry 7:
Below is BeTcIr2 after structural relaxation, with properties calculated at the PBE-GGA level.

CIF file:
```
data_BeTcIr2
_chemical_formula_sum 'Be4 Tc4 Ir8'
_cell_length_a 3.775
_cell_length_b 3.775
_cell_length_c 16.572
_cell_angle_alpha 90.00
_cell_angle_beta 90.00
_cell_angle_gamma 90.00
_symmetry_space_group_name_H-M 'I -4 2 d'
_symmetry_Int_Tables_number 122
_symmetry_space_group_name_Hall 'I -4 2bw'
loop_
_atom_site_label
_atom_site_fract_x
_atom_site_fract_y
_atom_site_fract_z
Be1 0.000 0.000 0.000
Tc1 0.000 0.000 0.500
Ir1 0.232 0.250 0.125
```

Values from the calculation:
- D(E_F): 0.92 states/eV/atom
- Final energy: -7.58 eV/atom
- Total magnetization: 0.00 μB per formula unit
- Calculated density: 13.8 g/cm³


Entry 8:
Below is Cr3BiP after structural relaxation, with properties calculated at the PBE-GGA level.

CIF file:
```
data_Cr3BiP
_chemical_formula_sum 'Cr3 Bi1 P1'
_cell_length_a 4.606
_cell_length_b 4.606
_cell_length_c 4.606
_cell_angle_alpha 90.00
_cell_angle_beta 90.00
_cell_angle_gamma 90.00
_symmetry_space_group_name_H-M 'P m -3 m'
_symmetry_Int_Tables_number 221
_symmetry_space_group_name_Hall '-P 4 2 3'
loop_
_atom_site_label
_atom_site_fract_x
_atom_site_fract_y
_atom_site_fract_z
Cr1 0.000 0.000 0.500
Bi1 0.500 0.500 0.500
P1 0.000 0.000 0.000
```

Values from the calculation:
- D(E_F): 0.59 states/eV/atom
- Final energy: -7.30 eV/atom
- Total magnetization: 10.78 μB per formula unit
- Calculated density: 6.7 g/cm³
- Excess energy over the best structure of this formula in the dataset: 0 meV/atom


Entry 9:
Below is HfZnAg2 after structural relaxation, with properties calculated at the PBE-GGA level.

CIF file:
```
data_HfZnAg2
_chemical_formula_sum 'Hf2 Zn2 Ag4'
_cell_length_a 5.181
_cell_length_b 2.996
_cell_length_c 9.596
_cell_angle_alpha 90.00
_cell_angle_beta 100.66
_cell_angle_gamma 90.00
_symmetry_space_group_name_H-M 'C 1 m 1'
_symmetry_Int_Tables_number 8
_symmetry_space_group_name_Hall 'C -2y'
loop_
_atom_site_label
_atom_site_fract_x
_atom_site_fract_y
_atom_site_fract_z
Hf1 0.000 0.000 0.000
Zn1 0.166 0.000 0.501
Ag1 0.077 0.500 0.735
Ag2 0.254 0.500 0.266
```

Values from the calculation:
- D(E_F): 0.43 states/eV/atom
- Final energy: -4.18 eV/atom
- Total magnetization: 0.00 μB per formula unit
- Calculated density: 10.4 g/cm³


Entry 10:
Below is PaCoTe3 after structural relaxation, with properties calculated at the PBE-GGA level.

CIF file:
```
data_PaCoTe3
_chemical_formula_sum 'Pa4 Co4 Te12'
_cell_length_a 9.515
_cell_length_b 6.790
_cell_length_c 8.078
_cell_angle_alpha 90.00
_cell_angle_beta 90.00
_cell_angle_gamma 90.00
_symmetry_space_group_name_H-M 'I m a 2'
_symmetry_Int_Tables_number 46
_symmetry_space_group_name_Hall 'I 2 -2a'
loop_
_atom_site_label
_atom_site_fract_x
_atom_site_fract_y
_atom_site_fract_z
Pa1 0.250 0.080 0.000
Co1 0.250 0.692 0.350
Te1 0.019 0.234 0.277
Te2 0.250 0.532 0.062
```

Values from the calculation:
- D(E_F): 1.05 states/eV/atom
- Final energy: -5.47 eV/atom
- Total magnetization: 0.00 μB per formula unit
- Calculated density: 8.6 g/cm³
- Formation energy from raw total energies: -269 meV per atom